The following is a DFT calculation (PBE) of a relaxed structure of Sm2ZnFe2Ni5.

Cell lengths 3.783, 8.954, 8.954 Å; angles 90.00, 90.00, 90.00 degrees
Positions (direct):
Ni (0.500, 0.059, 0.787)
Ni (0.500, 0.500, 0.000)
Ni (0.500, 0.941, 0.213)
Ni (0.500, 0.000, 0.500)
Sm (0.000, 0.314, 0.814)
Fe (0.000, 0.889, 0.389)
Zn (0.000, 0.500, 0.500)
Fe (0.000, 0.111, 0.611)
Ni (0.500, 0.441, 0.287)
Ni (0.500, 0.213, 0.059)
Sm (0.000, 0.686, 0.186)
Sm (0.000, 0.186, 0.314)
Sm (0.000, 0.814, 0.686)
Ni (0.500, 0.287, 0.559)
Fe (0.000, 0.389, 0.111)
Zn (0.000, 0.000, 0.000)
Ni (0.500, 0.787, 0.941)
Ni (0.500, 0.713, 0.441)
Ni (0.500, 0.559, 0.713)
Fe (0.000, 0.611, 0.889)

Summary:
magnetic moment	11.4	μB per cell
energy of formation	-0.73	eV per formula unit
crystal system	tetragonal
D(E_F)	0.9472	states/eV per atom
space-group type	P4/mbm